DFT (PBE+U) results for Ba2ErMn2O6 after structural relaxation.

Calculated values
Calculated volume: 16.37 A^3/atom
Space-group type: R-3m, No. 166
DFT total energy: -6.736 eV/atom
ρ: 5.973 g/cm³

Unit cell a=6.041 b=6.041 c=6.680 alpha=63.12 beta=63.12 gamma=60.00
Element x y z (fractional)
Mn: 0.559 0.559 0.324
Mn: 0.441 0.441 0.676
Er: 0.000 0.000 0.000
Ba: 0.220 0.220 0.341
Ba: 0.780 0.780 0.659
O: 0.753 0.753 0.249
O: 0.247 0.247 0.751
O: 0.247 0.756 0.751
O: 0.756 0.247 0.751
O: 0.753 0.244 0.249
O: 0.244 0.753 0.249